(1)
Material: Pm2PrEr2Tm
Method: DFT, GGA-PBE
State: optimized geometry

Structure (POSCAR):
```
Pm2PrEr2Tm
1.0
7.0173 0.0000 0.0000
0.0000 9.8336 0.0000
0.0000 0.0000 5.6411
Pm Pr Er Tm
4 2 4 2
direct
0.2469 0.1668 0.0000
0.2531 0.6668 0.5000
0.7469 0.3332 0.5000
0.7531 0.8332 0.0000
0.0000 0.5000 0.0000
0.5000 0.0000 0.5000
0.2502 0.3335 0.5000
0.2498 0.8335 0.0000
0.7502 0.1665 0.0000
0.7498 0.6665 0.5000
0.0000 0.0000 0.5000
0.5000 0.5000 0.0000
```

Output
**Space group**: No. 58
**Calculated total energy**: -54.96 eV for the cell shown
**ΔE_f**: 0.4 eV/f.u.

***

(2)
Material: Pm8Dy4Er
Method: DFT, GGA-PBE
State: optimized geometry

Structure (POSCAR):
```
Pm8Dy4Er
1.0
5.5547 3.2070 4.5131
-5.5547 3.2070 4.5131
0.0000 -6.4140 4.5131
Pm Dy Er
8 4 1
direct
0.2401 0.2401 0.2401
0.2400 0.2400 0.7582
0.2400 0.7582 0.2400
0.2418 0.7600 0.7600
0.7582 0.2400 0.2400
0.7600 0.2418 0.7600
0.7600 0.7600 0.2418
0.7599 0.7599 0.7599
0.0000 0.0000 0.0000
0.0000 0.5000 0.5000
0.5000 0.0000 0.5000
0.5000 0.5000 0.0000
0.5000 0.5000 0.5000
```

Output
**Space group**: No. 166
**Calculated total energy**: -54.84 eV for the cell shown
**ΔE_f**: 6.1 eV/f.u.

***

(3)
Material: Ga2CuOs
Method: DFT, GGA-PBE
State: optimized geometry

Structure (POSCAR):
```
Ga2CuOs
1.0
1.4254 0.8229 8.2563
-1.4254 0.8229 8.2563
0.0000 -1.6459 8.2563
Ga Cu Os
2 1 1
direct
0.2504 0.2504 0.2504
0.7496 0.7496 0.7496
0.0000 0.0000 0.0000
0.5000 0.5000 0.5000
```

Output
**Space group**: No. 166
**Calculated total energy**: -21.08 eV for the cell shown
**ΔE_f**: 0.3 eV/f.u.

***

(4)
Material: ScReW2
Method: DFT, GGA-PBE
State: optimized geometry

Structure (POSCAR):
```
ScReW2
1.0
3.1437 0.0000 0.0000
0.0000 3.1437 0.0000
0.0000 0.0000 6.8325
Sc Re W
1 1 2
direct
0.0000 0.0000 0.0000
0.0000 0.0000 0.5000
0.5000 0.5000 0.2729
0.5000 0.5000 0.7271
```

Output
**Relative energy among the computed polymorphs**: 162 meV/atom
**Space group**: No. 123
**Calculated total energy**: -44.11 eV for the cell shown
**ΔE_f**: 0.6 eV/f.u.

***

(5)
Material: NaSrPb3
Method: DFT, GGA-PBE
State: optimized geometry

Structure (POSCAR):
```
NaSrPb3
1.0
3.3094 -12.1553 0.0000
3.3094 12.1553 0.0000
0.0000 0.0000 4.5980
Na Sr Pb
2 2 6
direct
0.2487 0.2487 0.0000
0.7513 0.7513 0.5000
0.2833 0.7167 0.2500
0.7167 0.2833 0.7500
0.1354 0.3697 0.7315
0.1790 0.8210 0.7500
0.3697 0.1354 0.2685
0.6303 0.8646 0.7685
0.8210 0.1790 0.2500
0.8646 0.6303 0.2315
```

Output
**Relative energy among the computed polymorphs**: 0 meV/atom
**Space group**: No. 20
**Calculated total energy**: -30.11 eV for the cell shown
**ΔE_f**: -0.9 eV/f.u.

***

(6)
Material: RbAlCrFe2
Method: DFT, GGA-PBE
State: optimized geometry

Structure (POSCAR):
```
RbAlCrFe2
1.0
4.3340 0.0000 0.0000
0.0000 4.3340 0.0000
0.0000 0.0000 5.4983
Rb Al Cr Fe
1 1 1 2
direct
0.0000 0.0000 0.0000
0.5000 0.5000 0.0000
0.0000 0.0000 0.5000
0.0000 0.5000 0.5000
0.5000 0.0000 0.5000
```

Output
**Space group**: No. 123
**Calculated total energy**: -22.35 eV for the cell shown
**ΔE_f**: 8.9 eV/f.u.

***

(7)
Material: Ba2UAgTe6
Method: DFT, GGA-PBE
State: optimized geometry

Structure (POSCAR):
```
Ba2UAgTe6
1.0
7.3376 0.0000 0.0000
0.0000 11.9013 0.0000
0.0000 0.0000 8.9961
Ba U Ag Te
4 2 2 12
direct
0.2500 0.0312 0.1794
0.2500 0.4688 0.1794
0.7500 0.5312 0.8206
0.7500 0.9688 0.8206
0.2500 0.7500 0.7927
0.7500 0.2500 0.2073
0.2500 0.2500 0.6995
0.7500 0.7500 0.3005
0.0024 0.2500 0.9575
0.0205 0.2500 0.4391
0.2500 0.5026 0.7848
0.2500 0.9974 0.7848
0.4795 0.2500 0.4391
0.4976 0.2500 0.9575
0.5024 0.7500 0.0425
0.5205 0.7500 0.5609
0.7500 0.0026 0.2152
0.7500 0.4974 0.2152
0.9795 0.7500 0.5609
0.9976 0.7500 0.0425
```

Output
**ΔE_f (raw)**: -0.78 eV/atom
**Space group**: No. 59
**Calculated total energy**: -89.28 eV for the cell shown

***

Question: calculated total energy of number 3 (Ga2CuOs)?
Answer: -21.08 eV for the cell shown

***

Question: Which formula does entry 4 have?
Answer: ScReW2